Entry 1:
Mn3InPb: optimized geometry, PBE.

Summary:
ΔH_f (0 K): 968 meV per atom

Cell lengths 5.044, 5.044, 5.044 Å; angles 90.00, 90.00, 90.00 degrees
Atoms (fractional coordinates):
Mn (0.000, 0.000, 0.500)
Mn (0.000, 0.500, 0.000)
Mn (0.500, 0.000, 0.000)
In (0.000, 0.000, 0.000)
Pb (0.500, 0.500, 0.500)

Entry 2:
Ba4LiHg3: optimized geometry, PBE.

Summary:
ΔH_f (0 K): -397 meV per atom

Cell lengths 4.270, 5.946, 11.953 Å; angles 90.00, 90.00, 90.00 degrees
Atoms (fractional coordinates):
Ba (0.000, 0.000, 0.000)
Ba (0.000, 0.000, 0.500)
Ba (0.000, 0.500, 0.240)
Ba (0.000, 0.500, 0.760)
Li (0.500, 0.500, 0.500)
Hg (0.500, 0.000, 0.260)
Hg (0.500, 0.000, 0.740)
Hg (0.500, 0.500, 0.000)

Entry 3:
BeFeW2: optimized geometry, PBE.

Summary:
ΔH_f (0 K): 378 meV per atom

Cell lengths 8.554, 8.554, 8.554 Å; angles 18.31, 18.31, 18.31 degrees
Atoms (fractional coordinates):
Be (0.000, 0.000, 0.000)
Fe (0.500, 0.500, 0.500)
W (0.251, 0.251, 0.251)
W (0.749, 0.749, 0.749)

Entry 4:
BiTeI2: optimized geometry, PBE.

Summary:
Formation energy (no corrections): -0.11 eV/atom

Cell lengths 4.538, 6.152, 7.723 Å; angles 92.96, 92.08, 104.51 degrees
Atoms (fractional coordinates):
Bi (0.000, 0.000, 0.000)
Te (0.015, 0.710, 0.713)
I (0.442, 0.807, 0.233)
I (0.547, 0.249, 0.778)

Entry 5:
PmCo2: optimized geometry, PBE.

Summary:
ΔH_f (0 K): 186 meV per atom

Cell lengths 5.557, 5.557, 5.557 Å; angles 146.43, 146.43, 48.21 degrees
Atoms (fractional coordinates):
Pm (0.000, 0.000, 0.000)
Co (0.291, 0.291, 0.000)
Co (0.709, 0.709, 0.000)

Entry 6:
CrHgGe: optimized geometry, PBE.

Summary:
ΔH_f (0 K): 266 meV per atom

Cell lengths 5.030, 3.170, 7.131 Å; angles 90.00, 102.23, 90.00 degrees
Atoms (fractional coordinates):
Cr (0.128, 0.250, 0.091)
Cr (0.872, 0.750, 0.909)
Hg (0.228, 0.750, 0.426)
Hg (0.772, 0.250, 0.574)
Ge (0.348, 0.750, 0.865)
Ge (0.652, 0.250, 0.135)

Entry 7:
CrW: optimized geometry, PBE.

Summary:
ΔH_f (0 K): 430 meV per atom

Cell lengths 8.563, 8.563, 8.563 Å; angles 18.88, 18.88, 18.88 degrees
Atoms (fractional coordinates):
Cr (0.133, 0.133, 0.133)
Cr (0.867, 0.867, 0.867)
W (0.381, 0.381, 0.381)
W (0.619, 0.619, 0.619)

Entry 8:
Li2Zn6Ga: optimized geometry, PBE.

Summary:
ΔH_f (0 K): -116 meV per atom

Cell lengths 4.680, 4.680, 8.323 Å; angles 104.96, 104.96, 50.80 degrees
Atoms (fractional coordinates):
Li (0.168, 0.168, 0.220)
Li (0.832, 0.832, 0.780)
Zn (0.164, 0.164, 0.883)
Zn (0.166, 0.166, 0.561)
Zn (0.493, 0.493, 0.661)
Zn (0.507, 0.507, 0.339)
Zn (0.834, 0.834, 0.439)
Zn (0.836, 0.836, 0.117)
Ga (0.500, 0.500, 0.000)

Entry 9:
LaPmCu: optimized geometry, PBE.

Summary:
ΔH_f (0 K): -74 meV per atom

Cell lengths 6.820, 6.820, 6.820 Å; angles 149.00, 149.00, 44.41 degrees
Atoms (fractional coordinates):
La (0.000, 0.000, 0.000)
Pm (0.275, 0.275, 0.000)
Cu (0.648, 0.648, 0.000)

Entry 10:
MnTc2Ag: optimized geometry, PBE.

Summary:
ΔH_f (0 K): 313 meV per atom

Cell lengths 2.674, 2.674, 8.039 Å; angles 90.00, 90.00, 90.00 degrees
Atoms (fractional coordinates):
Mn (0.000, 0.000, 0.000)
Tc (0.500, 0.500, 0.216)
Tc (0.500, 0.500, 0.784)
Ag (0.000, 0.000, 0.500)

Entry 11:
SrZn9Ga2: optimized geometry, PBE.

Summary:
ΔH_f (0 K): -135 meV per atom

Cell lengths 8.379, 8.379, 8.379 Å; angles 100.80, 100.80, 128.71 degrees
Atoms (fractional coordinates):
Sr (0.375, 0.625, 0.750)
Sr (0.625, 0.375, 0.250)
Zn (0.125, 0.875, 0.250)
Zn (0.128, 0.551, 0.334)
Zn (0.128, 0.795, 0.577)
Zn (0.205, 0.282, 0.334)
Zn (0.205, 0.872, 0.923)
Zn (0.282, 0.205, 0.834)
Zn (0.282, 0.449, 0.077)
Zn (0.449, 0.282, 0.577)
Zn (0.449, 0.872, 0.166)
Zn (0.551, 0.128, 0.834)
Zn (0.551, 0.718, 0.423)
Zn (0.718, 0.551, 0.923)
Zn (0.718, 0.795, 0.166)
Zn (0.795, 0.128, 0.077)
Zn (0.795, 0.718, 0.666)
Zn (0.872, 0.205, 0.423)
Zn (0.872, 0.449, 0.666)
Zn (0.875, 0.125, 0.750)
Ga (0.000, 0.000, 0.000)
Ga (0.000, 0.000, 0.500)
Ga (0.000, 0.500, 0.000)
Ga (0.500, 0.000, 0.500)

Entry 12:
HgBBrO2: optimized geometry, PBE.

Summary:
Formation energy (no corrections): -1.13 eV/atom

Cell lengths 5.835, 5.807, 7.260 Å; angles 90.00, 105.37, 90.00 degrees
Atoms (fractional coordinates):
Hg (0.078, 0.250, 0.284)
Hg (0.922, 0.750, 0.716)
B (0.374, 0.750, 0.493)
B (0.626, 0.250, 0.507)
Br (0.271, 0.750, 0.988)
Br (0.729, 0.250, 0.012)
O (0.152, 0.750, 0.463)
O (0.403, 0.250, 0.497)
O (0.597, 0.750, 0.503)
O (0.848, 0.250, 0.537)

Entry 13:
Tl3HgN: optimized geometry, PBE.

Summary:
Formation energy (no corrections): 0.10 eV/atom

Cell lengths 6.009, 6.417, 9.252 Å; angles 94.94, 102.55, 116.25 degrees
Atoms (fractional coordinates):
Tl (0.014, 0.240, 0.195)
Tl (0.173, 0.809, 0.226)
Tl (0.329, 0.602, 0.591)
Tl (0.671, 0.398, 0.409)
Tl (0.827, 0.191, 0.774)
Tl (0.986, 0.760, 0.805)
Hg (0.274, 0.093, 0.596)
Hg (0.726, 0.907, 0.404)
N (0.492, 0.582, 0.989)
N (0.508, 0.418, 0.011)

Entry 14:
SrCd2Te2: optimized geometry, PBE.

Summary:
Formation energy (no corrections): -0.47 eV/atom

Cell lengths 8.534, 8.534, 4.331 Å; angles 90.00, 90.00, 90.00 degrees
Atoms (fractional coordinates):
Sr (0.000, 0.000, 0.000)
Sr (0.500, 0.500, 0.000)
Cd (0.137, 0.363, 0.500)
Cd (0.363, 0.863, 0.500)
Cd (0.637, 0.137, 0.500)
Cd (0.863, 0.637, 0.500)
Te (0.162, 0.662, 0.000)
Te (0.338, 0.162, 0.000)
Te (0.662, 0.838, 0.000)
Te (0.838, 0.338, 0.000)

Entry 15:
KSb2: optimized geometry, PBE.

Summary:
Formation energy (no corrections): -0.30 eV/atom

Cell lengths 7.498, 7.498, 7.174 Å; angles 93.61, 93.61, 33.37 degrees
Atoms (fractional coordinates):
K (0.134, 0.134, 0.130)
K (0.866, 0.866, 0.870)
Sb (0.186, 0.186, 0.629)
Sb (0.448, 0.448, 0.319)
Sb (0.552, 0.552, 0.681)
Sb (0.814, 0.814, 0.371)

Entry 16:
CaSmMgPt: optimized geometry, PBE.

Summary:
ΔH_f (0 K): -514 meV per atom

Cell lengths 5.155, 5.155, 5.155 Å; angles 60.00, 60.00, 60.00 degrees
Atoms (fractional coordinates):
Ca (0.000, 0.000, 0.000)
Sm (0.500, 0.500, 0.500)
Mg (0.250, 0.250, 0.250)
Pt (0.750, 0.750, 0.750)

Entry 17:
CaTbSc2: optimized geometry, PBE.

Summary:
ΔH_f (0 K): 210 meV per atom

Cell lengths 4.931, 4.931, 4.842 Å; angles 90.00, 90.00, 90.00 degrees
Atoms (fractional coordinates):
Ca (0.000, 0.000, 0.000)
Tb (0.500, 0.500, 0.000)
Sc (0.000, 0.500, 0.500)
Sc (0.500, 0.000, 0.500)

Entry 18:
Hf3BiIr: optimized geometry, PBE.

Summary:
ΔH_f (0 K): -55 meV per atom

Cell lengths 5.059, 5.059, 5.059 Å; angles 90.00, 90.00, 90.00 degrees
Atoms (fractional coordinates):
Hf (0.000, 0.000, 0.500)
Hf (0.000, 0.500, 0.000)
Hf (0.500, 0.000, 0.000)
Bi (0.500, 0.500, 0.500)
Ir (0.000, 0.000, 0.000)

Entry 19:
TlCdBiF6: optimized geometry, PBE.

Summary:
Formation energy (no corrections): -2.22 eV/atom

Cell lengths 6.247, 6.247, 11.110 Å; angles 90.00, 90.00, 120.00 degrees
Atoms (fractional coordinates):
Tl (0.000, 0.000, 0.000)
Tl (0.000, 0.000, 0.500)
Cd (0.333, 0.667, 0.250)
Cd (0.667, 0.333, 0.750)
Bi (0.333, 0.667, 0.750)
Bi (0.667, 0.333, 0.250)
F (0.001, 0.376, 0.144)
F (0.001, 0.625, 0.356)
F (0.375, 0.376, 0.356)
F (0.375, 0.999, 0.144)
F (0.376, 0.001, 0.644)
F (0.376, 0.375, 0.856)
F (0.624, 0.625, 0.144)
F (0.624, 0.999, 0.356)
F (0.625, 0.001, 0.856)
F (0.625, 0.624, 0.644)
F (0.999, 0.375, 0.644)
F (0.999, 0.624, 0.856)

Entry 20:
CdSb2Ir: optimized geometry, PBE.

Summary:
Formation energy (no corrections): 0.00 eV/atom

Cell lengths 6.820, 6.820, 6.820 Å; angles 152.86, 139.31, 49.59 degrees
Atoms (fractional coordinates):
Cd (0.000, 0.000, 0.000)
Sb (0.321, 0.821, 0.500)
Sb (0.679, 0.179, 0.500)
Ir (0.500, 0.500, 0.000)

Entry 21:
Al2AsCl: optimized geometry, PBE.

Summary:
Formation energy (no corrections): -0.15 eV/atom

Cell lengths 6.311, 6.311, 6.311 Å; angles 151.85, 138.70, 50.73 degrees
Atoms (fractional coordinates):
Al (0.000, 0.000, 0.000)
Al (0.788, 0.288, 0.500)
As (0.197, 0.697, 0.500)
Cl (0.482, 0.482, 0.000)

Entry 22:
Hf2AgHRh: optimized geometry, PBE.

Summary:
Electronic total energy: -6.99 eV per atom

Cell lengths 4.616, 4.616, 3.605 Å; angles 90.00, 90.00, 90.00 degrees
Atoms (fractional coordinates):
Hf (0.000, 0.500, 0.000)
Hf (0.500, 0.000, 0.000)
Ag (0.000, 0.000, 0.500)
H (0.500, 0.500, 0.000)
Rh (0.500, 0.500, 0.500)

Entry 23:
Hg2PtCl: optimized geometry, PBE.

Summary:
Formation energy (no corrections): 0.22 eV/atom

Cell lengths 6.416, 6.416, 6.416 Å; angles 144.44, 144.44, 51.17 degrees
Atoms (fractional coordinates):
Hg (0.000, 0.000, 0.000)
Hg (0.750, 0.250, 0.500)
Pt (0.250, 0.750, 0.500)
Cl (0.500, 0.500, 0.000)

Entry 24:
Tb4PrZn: optimized geometry, PBE.

Summary:
ΔH_f (0 K): -97 meV per atom

Cell lengths 3.601, 3.601, 13.763 Å; angles 90.00, 90.00, 90.00 degrees
Atoms (fractional coordinates):
Tb (0.000, 0.000, 0.128)
Tb (0.000, 0.000, 0.872)
Tb (0.500, 0.500, 0.313)
Tb (0.500, 0.500, 0.687)
Pr (0.000, 0.000, 0.500)
Zn (0.500, 0.500, 0.000)

Entry 25:
TbPm2Ge: optimized geometry, PBE.

Summary:
ΔH_f (0 K): -339 meV per atom

Cell lengths 4.732, 4.732, 4.785 Å; angles 90.00, 90.00, 90.00 degrees
Atoms (fractional coordinates):
Tb (0.000, 0.000, 0.000)
Pm (0.000, 0.500, 0.500)
Pm (0.500, 0.000, 0.500)
Ge (0.500, 0.500, 0.000)

Entry 26:
SrCa2Mo: optimized geometry, PBE.

Summary:
ΔH_f (0 K): 774 meV per atom

Cell lengths 3.709, 5.042, 7.275 Å; angles 90.00, 103.06, 90.00 degrees
Atoms (fractional coordinates):
Sr (0.000, 0.000, 0.000)
Ca (0.413, 0.500, 0.706)
Ca (0.587, 0.500, 0.294)
Mo (0.000, 0.000, 0.500)

| no. | DOS(E_F) (states/eV/f.u.) |
| --- | --- |
| 1 | 1.466 |
| 2 | 6.379 |
| 3 | 2.685 |
| 4 | 1.535 |
| 5 | 4.022 |
| 6 | 1.576 |
| 7 | 2.474 |
| 8 | 3.012 |
| 9 | 4.052 |
| 10 | 3.964 |
| 11 | 4.011 |
| 12 | 0.000 |
| 13 | 1.919 |
| 14 | 2.479 |
| 15 | 0.150 |
| 16 | 1.813 |
| 17 | 8.798 |
| 18 | 2.649 |
| 19 | 0.000 |
| 20 | 1.744 |
| 21 | 0.958 |
| 22 | 3.663 |
| 23 | 1.975 |
| 24 | 7.991 |
| 25 | 4.290 |
| 26 | 3.866 |